Entry from the Alexandria database: a relaxed structure of ScCo6Re (PBEsol).

**Spin magnetization**: 0.0006 μB/atom
**Formation energy from the elements**: -0.093 eV/atom
**V**: 11.36 Å³/atom
**Final energy**: -8.39 eV per atom

Lattice parameters (Å, degrees): 7.1372 10.0690 10.1151 90.00 90.00 90.00
With the nearest neighbours (Å) after each atom.
Space group Cmmm (No. 65)
Inequivalent atoms, fractional coordinates:
1 Sc 0.0000 0.0000 0.2479  12 Co 2.51-2.61
2 Sc 0.0000 0.2480 0.0000  12 Co 2.50-2.62
3 Co 0.0000 0.0000 0.0000  4 Sc 2.50-2.51, 8 Co 2.58
4 Co 0.0000 0.0000 0.5000  2 Re 2.47, 8 Co 2.54, 2 Sc 2.55
5 Co 0.0000 0.2553 0.2586  8 Co 2.43-2.62, 2 Re 2.44-2.47, 2 Sc 2.57-2.62
6 Co 0.0000 0.5000 0.0000  2 Re 2.47, 8 Co 2.50, 2 Sc 2.54
7 Co 0.0000 0.5000 0.5000  8 Co 2.47, 4 Re 2.56-2.58
8 Co 0.2417 0.3766 0.1302  1 Re 2.42, 8 Co 2.48-2.63, 3 Sc 2.52-2.59
9 Co 0.2430 0.3727 0.3803  8 Co 2.42-2.56, 3 Re 2.47-2.56, 1 Sc 2.61
10 Re 0.0000 0.2454 0.5000  12 Co 2.44-2.56
11 Re 0.0000 0.5000 0.2447  12 Co 2.42-2.58

Entry from the Alexandria database: a relaxed structure of Sc3CoRe (PBEsol).

**Spin magnetization**: 0.2735 μB/atom
**Formation energy from the elements**: 0.823 eV/atom
**V**: 23.81 Å³/atom
**Final energy**: -7.35 eV per atom
**E above lowest polymorph**: 311 meV/atom

Lattice parameters (Å, degrees): 4.9193 4.9193 4.9193 90.00 90.00 90.00
With the nearest neighbours (Å) after each atom.
Space group Pm-3m (No. 221)
Inequivalent atoms, fractional coordinates:
1 Sc 0.0000 0.0000 0.5000  2 Re 2.46
2 Co 0.5000 0.5000 0.5000  12 Sc 3.48
3 Re 0.0000 0.0000 0.0000  6 Sc 2.46

Entry from the Alexandria database: a relaxed structure of Co2ReSe (PBEsol).

**Spin magnetization**: 0.3907 μB/atom
**V**: 12.73 Å³/atom
**Final energy**: -7.93 eV per atom
**ΔE_f (raw)**: 0.23 eV per atom

Lattice parameters (Å, degrees): 2.7406 2.7406 23.4808 90.00 90.00 120.00
With the nearest neighbours (Å) after each atom.
Space group R-3m (No. 166, hexagonal axes)
Inequivalent atoms, fractional coordinates:
1 Co 0.0000 0.0000 0.2466  3 Se 2.46, 3 Re 2.58, 6 Co 2.74
2 Re 0.0000 0.0000 0.0000  6 Co 2.58, 6 Re 2.74
3 Se 0.0000 0.0000 0.5000  6 Co 2.46, 6 Se 2.74

Entry from the Alexandria database: a relaxed structure of CoRe2Se (PBEsol).

**Spin magnetization**: 0.4929 μB/atom
**V**: 14.18 Å³/atom
**Final energy**: -8.94 eV per atom
**ΔE_f (raw)**: 0.62 eV per atom

Lattice parameters (Å, degrees): 6.0988 6.0988 6.0988 90.00 90.00 90.00
With the nearest neighbours (Å) after each atom.
Space group F-43m (No. 216)
Inequivalent atoms, fractional coordinates:
1 Co 0.0000 0.0000 0.0000  4 Se 2.64, 4 Re 2.64
2 Re 0.0000 0.0000 0.5000  4 Re 2.64, 4 Se 2.64
3 Re 0.2500 0.2500 0.2500  4 Co 2.64, 4 Re 2.64
4 Se 0.2500 0.2500 0.7500  4 Co 2.64, 4 Re 2.64

Entry from the Alexandria database: a relaxed structure of CoRe2Se (PBEsol).

**Spin magnetization**: 0.1889 μB/atom
**V**: 13.87 Å³/atom
**Final energy**: -9.30 eV per atom
**ΔE_f (raw)**: 0.27 eV per atom

Lattice parameters (Å, degrees): 2.8070 2.8070 24.3941 90.00 90.00 120.00
With the nearest neighbours (Å) after each atom.
Space group R3m (No. 160, hexagonal axes)
Inequivalent atoms, fractional coordinates:
1 Co 0.0000 0.0000 0.0000  3 Se 2.42, 3 Re 2.61
2 Re 0.0000 0.0000 0.5038  9 Re 2.66-2.81, 3 Se 2.71
3 Re 0.0000 0.0000 0.7507  3 Co 2.61, 9 Re 2.66-2.81
4 Se 0.0000 0.0000 0.2597  3 Co 2.42

Entry from the Alexandria database: a relaxed structure of CoReSe (PBEsol).

**Spin magnetization**: 0.4681 μB/atom
**V**: 15.12 Å³/atom
**Final energy**: -7.48 eV per atom
**ΔE_f (raw)**: 0.82 eV per atom

Lattice parameters (Å, degrees): 5.6608 5.6608 5.6608 90.00 90.00 90.00
With the nearest neighbours (Å) after each atom.
Space group F-43m (No. 216)
Inequivalent atoms, fractional coordinates:
1 Co 0.0000 0.0000 0.0000  4 Se 2.45, 4 Re 2.45
2 Re 0.2500 0.2500 0.7500  4 Co 2.45
3 Se 0.2500 0.2500 0.2500  4 Co 2.45

Entry from the Alexandria database: a relaxed structure of Co2ReSe (PBEsol).

**Spin magnetization**: 0.2843 μB/atom
**V**: 12.41 Å³/atom
**Final energy**: -7.77 eV per atom
**ΔE_f (raw)**: 0.39 eV per atom

Lattice parameters (Å, degrees): 5.8340 5.8340 5.8340 90.00 90.00 90.00
With the nearest neighbours (Å) after each atom.
Space group F-43m (No. 216)
Inequivalent atoms, fractional coordinates:
1 Co 0.0000 0.0000 0.0000  4 Co 2.53, 4 Re 2.53
2 Co 0.2500 0.2500 0.2500  4 Se 2.53, 4 Co 2.53
3 Re 0.2500 0.2500 0.7500  4 Se 2.53, 4 Co 2.53
4 Se 0.0000 0.0000 0.5000  4 Co 2.53, 4 Re 2.53

Entry from the Alexandria database: a relaxed structure of Co2ReSe (PBEsol).

**Spin magnetization**: 0.0245 μB/atom
**V**: 12.69 Å³/atom
**Final energy**: -7.86 eV per atom
**ΔE_f (raw)**: 0.30 eV per atom

Lattice parameters (Å, degrees): 8.2068 2.7556 4.5035 90.00 94.31 90.00
With the nearest neighbours (Å) after each atom.
Space group Cm (No. 8)
Inequivalent atoms, fractional coordinates:
1 Co 0.0000 0.0000 0.0000  2 Se 2.36, 3 Re 2.46-2.49, 3 Co 2.54-2.58
2 Co 0.2355 0.5000 0.2587  3 Se 2.26-2.51
3 Re 0.2674 0.0000 0.7867  7 Co 2.46-2.74, 1 Se 2.49, 2 Re 2.76
4 Se 0.4818 0.0000 0.4224  5 Co 2.26-2.51, 1 Re 2.49

Entry from the Alexandria database: a relaxed structure of Co2ReSe (PBEsol).

**Spin magnetization**: 0.2995 μB/atom
**V**: 12.51 Å³/atom
**Final energy**: -7.76 eV per atom
**ΔE_f (raw)**: 0.40 eV per atom

Lattice parameters (Å, degrees): 3.0129 3.9988 8.3060 90.00 90.00 90.00
With the nearest neighbours (Å) after each atom.
Space group Imm2 (No. 44)
Inequivalent atoms, fractional coordinates:
1 Co 0.0000 0.0000 0.0000  2 Se 2.28, 4 Re 2.55
2 Co 0.0000 0.5000 0.2143  4 Se 2.50, 2 Co 2.68, 4 Re 2.72-2.75
3 Re 0.0000 0.0000 0.4419  2 Se 2.47, 8 Co 2.55-2.75
4 Se 0.0000 0.5000 0.7056  6 Co 2.28-2.50, 2 Re 2.47

Entry from the Alexandria database: a relaxed structure of Co2ReSi (PBEsol).

**Spin magnetization**: 0.0002 μB/atom
**V**: 11.48 Å³/atom
**Final energy**: -8.82 eV per atom
**ΔE_f (raw)**: -0.18 eV per atom

Lattice parameters (Å, degrees): 3.6080 3.6080 7.0532 90.00 90.00 90.00
With the nearest neighbours (Å) after each atom.
Space group I-4m2 (No. 119)
Inequivalent atoms, fractional coordinates:
1 Co 0.0000 0.0000 0.0000  4 Co 2.52, 4 Si 2.52, 4 Re 2.55
2 Co 0.0000 0.5000 0.2500  4 Co 2.52, 4 Re 2.52, 4 Si 2.55
3 Re 0.0000 0.0000 0.5000  8 Co 2.52-2.55, 4 Si 2.52
4 Si 0.0000 0.5000 0.7500  4 Re 2.52, 8 Co 2.52-2.55

Entry from the Alexandria database: a relaxed structure of CoReSi (PBEsol).

**Spin magnetization**: 0.0002 μB/atom
**V**: 12.29 Å³/atom
**Final energy**: -9.09 eV per atom
**ΔE_f (raw)**: -0.15 eV per atom

Lattice parameters (Å, degrees): 2.6803 2.6803 5.9252 90.00 90.00 120.00
With the nearest neighbours (Å) after each atom.
Space group P3m1 (No. 156)
Inequivalent atoms, fractional coordinates:
1 Co 0.0000 0.0000 0.0000  3 Si 2.34, 3 Re 2.56
2 Re 0.3333 0.6667 0.6555  3 Co 2.56, 3 Si 2.63, 6 Re 2.68
3 Si 0.6667 0.3333 0.2960  3 Co 2.34

Entry from the Alexandria database: a relaxed structure of CoRe4Si (PBEsol).

**Spin magnetization**: 0.2938 μB/atom
**V**: 15.32 Å³/atom
**Final energy**: -10.31 eV per atom
**ΔE_f (raw)**: 0.83 eV per atom

Lattice parameters (Å, degrees): 7.1647 7.1647 7.1647 90.00 90.00 90.00
With the nearest neighbours (Å) after each atom.
Space group F-43m (No. 216)
Inequivalent atoms, fractional coordinates:
1 Co 0.0000 0.0000 0.0000  12 Re 2.97, 4 Si 3.10
2 Re 0.1253 0.1253 0.6253  6 Re 2.53-2.54
3 Si 0.2500 0.2500 0.2500  12 Re 2.97, 4 Co 3.10

Entry from the Alexandria database: a relaxed structure of ZnCoRe2Si (PBEsol).

**Spin magnetization**: 0.0005 μB/atom
**V**: 15.91 Å³/atom
**Final energy**: -7.06 eV per atom
**ΔE_f (raw)**: 1.29 eV per atom

Lattice parameters (Å, degrees): 4.4342 4.4342 4.0449 90.00 90.00 90.00
With the nearest neighbours (Å) after each atom.
Space group P4/mmm (No. 123)
Inequivalent atoms, fractional coordinates:
1 Zn 0.0000 0.0000 0.0000  8 Re 3.00, 4 Si 3.14
2 Co 0.5000 0.5000 0.5000  2 Si 2.02, 4 Re 2.22
3 Re 0.0000 0.5000 0.5000  2 Co 2.22
4 Si 0.5000 0.5000 0.0000  2 Co 2.02